1.
## PmSm2Bi (PBE)

Data for crystalline PmSm2Bi at its relaxed geometry.

Cell: 4.952 4.958 4.958 Å, 90.00 90.00 90.00°
Atoms (fractional coordinates):
1 Bi 0.500 0.500 0.500
2 Sm 0.000 0.000 0.500
3 Sm 0.000 0.500 0.000
4 Pm 0.500 0.000 0.000

Summary:
- energy relative to the lowest polymorph listed for this composition (meV per atom) = 37
- total energy (eV/atom) = -4.93
- ΔE_f (eV per atom) = -0.411
- magnetic moment (μB/f.u.) = 0.00
- SG = P4/mmm (123)



2.
## Pm5Sm3Bi8 (PBE)

Data for crystalline Pm5Sm3Bi8 at its relaxed geometry.

Cell: 9.144 9.144 9.144 Å, 60.00 60.00 60.00°
Atoms (fractional coordinates):
1 Pm 0.500 0.000 0.000
2 Pm 0.500 0.500 0.000
3 Pm 0.000 0.000 0.000
4 Pm 0.000 0.500 0.000
5 Pm 0.500 0.500 0.500
6 Sm 0.500 0.000 0.500
7 Sm 0.000 0.000 0.500
8 Sm 0.000 0.500 0.500
9 Bi 0.250 0.250 0.749
10 Bi 0.250 0.751 0.749
11 Bi 0.751 0.250 0.749
12 Bi 0.750 0.750 0.749
13 Bi 0.750 0.750 0.251
14 Bi 0.750 0.249 0.251
15 Bi 0.249 0.750 0.251
16 Bi 0.250 0.250 0.251

Summary:
- total energy (eV/atom) = -5.24
- ΔE_f (eV per atom) = -0.935
- magnetic moment (μB/f.u.) = 0.00
- SG = R-3m (166)